[1]
# Nd6As3PS2 PBE-GGA optimized geometry
# Raw total energy in Ry per atom: -0.4709
# Crystal system: monoclinic
# Uncorrected formation energy in eV per atom: -1.72
data_Nd6As3PS2
_chemical_formula_sum 'Nd12 As6 P2 S4'
_space_group_name_H-M_alt 'C 1 2/m 1'
_space_group_IT_number 12
_cell_length_a 18.276
_cell_length_b 4.200
_cell_length_c 8.375
_cell_angle_alpha 90.00
_cell_angle_beta 103.15
_cell_angle_gamma 90.00
loop_
_space_group_symop_operation_xyz
'x,y,z'
'-x,-y,-z'
'-x,y,-z'
'x,-y,z'
'x+1/2,y+1/2,z'
'-x+1/2,-y+1/2,-z'
'-x+1/2,y+1/2,-z'
'x+1/2,-y+1/2,z'
loop_
_atom_site_label
_atom_site_type_symbol
_atom_site_fract_x
_atom_site_fract_y
_atom_site_fract_z
_atom_site_occupancy
Nd1 Nd 0.000 0.000 0.244 1
Nd2 Nd 0.164 0.500 0.082 1
Nd3 Nd 0.166 0.500 0.583 1
As1 As 0.000 0.500 0.500 1
As2 As 0.168 0.000 0.832 1
P1 P 0.000 0.500 0.000 1
S1 S 0.168 0.000 0.335 1

---

[2]
# Sm5Ho4Pu PBE-GGA optimized geometry
# Raw total energy in Ry per atom: -0.4088
# Crystal system: monoclinic
# E_form in meV per atom: 62
data_Sm5Ho4Pu
_chemical_formula_sum 'Sm10 Ho8 Pu2'
_space_group_name_H-M_alt 'C 1 2/m 1'
_space_group_IT_number 12
_cell_length_a 16.902
_cell_length_b 3.525
_cell_length_c 11.404
_cell_angle_alpha 90.00
_cell_angle_beta 108.95
_cell_angle_gamma 90.00
loop_
_space_group_symop_operation_xyz
'x,y,z'
'-x,-y,-z'
'-x,y,-z'
'x,-y,z'
'x+1/2,y+1/2,z'
'-x+1/2,-y+1/2,-z'
'-x+1/2,y+1/2,-z'
'x+1/2,-y+1/2,z'
loop_
_atom_site_label
_atom_site_type_symbol
_atom_site_fract_x
_atom_site_fract_y
_atom_site_fract_z
_atom_site_occupancy
Sm1 Sm 0.000 0.000 0.000 1
Sm2 Sm 0.187 0.500 0.577 1
Sm3 Sm 0.210 0.500 0.115 1
Ho1 Ho 0.083 0.500 0.789 1
Ho2 Ho 0.105 0.000 0.299 1
Pu1 Pu 0.000 0.000 0.500 1

---

[3]
# AcYAu2O8 PBE-GGA optimized geometry
# Raw total energy in Ry per atom: -0.4337
# Crystal system: tetragonal
# Uncorrected formation energy in eV per atom: -1.17
data_AcYAu2O8
_chemical_formula_sum 'Ac2 Y2 Au4 O16'
_space_group_name_H-M_alt 'I -4'
_space_group_IT_number 82
_cell_length_a 5.651
_cell_length_b 5.651
_cell_length_c 10.678
_cell_angle_alpha 90.00
_cell_angle_beta 90.00
_cell_angle_gamma 90.00
loop_
_space_group_symop_operation_xyz
'x,y,z'
'y,-x,-z'
'-x,-y,z'
'-y,x,-z'
'x+1/2,y+1/2,z+1/2'
'y+1/2,-x+1/2,-z+1/2'
'-x+1/2,-y+1/2,z+1/2'
'-y+1/2,x+1/2,-z+1/2'
loop_
_atom_site_label
_atom_site_type_symbol
_atom_site_fract_x
_atom_site_fract_y
_atom_site_fract_z
_atom_site_occupancy
Ac1 Ac 0.000 0.000 0.000 1
Y1 Y 0.000 0.500 0.250 1
Au1 Au 0.000 0.000 0.500 1
Au2 Au 0.000 0.500 0.750 1
O1 O 0.069 0.342 0.457 1
O2 O 0.140 0.818 0.784 1

---

[4]
# TiAg4Te5 PBE-GGA optimized geometry
# Raw total energy in Ry per atom: -0.2686
# Crystal system: tetragonal
# Uncorrected formation energy in eV per atom: -0.15
data_TiAg4Te5
_chemical_formula_sum 'Ti2 Ag8 Te10'
_space_group_name_H-M_alt 'I 4'
_space_group_IT_number 79
_cell_length_a 9.419
_cell_length_b 9.419
_cell_length_c 5.783
_cell_angle_alpha 90.00
_cell_angle_beta 90.00
_cell_angle_gamma 90.00
loop_
_space_group_symop_operation_xyz
'x,y,z'
'-y,x,z'
'-x,-y,z'
'y,-x,z'
'x+1/2,y+1/2,z+1/2'
'-y+1/2,x+1/2,z+1/2'
'-x+1/2,-y+1/2,z+1/2'
'y+1/2,-x+1/2,z+1/2'
loop_
_atom_site_label
_atom_site_type_symbol
_atom_site_fract_x
_atom_site_fract_y
_atom_site_fract_z
_atom_site_occupancy
Ti1 Ti 0.000 0.000 0.000 1
Ag1 Ag 0.106 0.716 0.378 1
Te1 Te 0.000 0.000 0.464 1
Te2 Te 0.066 0.717 0.886 1

---

[5]
# UTa2Rh PBE-GGA optimized geometry
# Raw total energy in Ry per atom: -0.7686
# Crystal system: tetragonal
# E_form in meV per atom: 129
# Energy above the lowest structure with this stoichiometry in eV per formula unit: 0.538
data_UTa2Rh
_chemical_formula_sum 'U1 Ta2 Rh1'
_space_group_name_H-M_alt 'P 4/m m m'
_space_group_IT_number 123
_space_group_name_Hall '-P 4 2'
_cell_length_a 3.368
_cell_length_b 3.368
_cell_length_c 6.352
_cell_angle_alpha 90.00
_cell_angle_beta 90.00
_cell_angle_gamma 90.00
loop_
_atom_site_label
_atom_site_type_symbol
_atom_site_fract_x
_atom_site_fract_y
_atom_site_fract_z
_atom_site_occupancy
U1 U 0.000 0.000 0.000 1
Ta1 Ta 0.500 0.500 0.254 1
Rh1 Rh 0.000 0.000 0.500 1

---

[6]
# PrHgCl PBE-GGA optimized geometry
# Raw total energy in Ry per atom: -0.2535
# Crystal system: triclinic
# Uncorrected formation energy in eV per atom: -1.14
data_PrHgCl
_chemical_formula_sum 'Pr2 Hg2 Cl2'
_space_group_name_H-M_alt 'P -1'
_space_group_IT_number 2
_cell_length_a 4.187
_cell_length_b 4.896
_cell_length_c 8.036
_cell_angle_alpha 89.94
_cell_angle_beta 74.93
_cell_angle_gamma 89.81
loop_
_space_group_symop_operation_xyz
'x,y,z'
'-x,-y,-z'
loop_
_atom_site_label
_atom_site_type_symbol
_atom_site_fract_x
_atom_site_fract_y
_atom_site_fract_z
_atom_site_occupancy
Pr1 Pr 0.125 0.250 0.249 1
Hg1 Hg 0.448 0.250 0.599 1
Cl1 Cl 0.241 0.750 0.018 1

---

[7]
# CaHo2PaP4 PBE-GGA optimized geometry
# Raw total energy in Ry per atom: -0.4938
# Crystal system: monoclinic
# E_form in meV per atom: -1432
data_CaHo2PaP4
_chemical_formula_sum 'Ca1 Ho2 Pa1 P4'
_space_group_name_H-M_alt 'P 1 2/m 1'
_space_group_IT_number 10
_cell_length_a 6.922
_cell_length_b 4.016
_cell_length_c 6.926
_cell_angle_alpha 90.00
_cell_angle_beta 109.16
_cell_angle_gamma 90.00
loop_
_space_group_symop_operation_xyz
'x,y,z'
'-x,-y,-z'
'-x,y,-z'
'x,-y,z'
loop_
_atom_site_label
_atom_site_type_symbol
_atom_site_fract_x
_atom_site_fract_y
_atom_site_fract_z
_atom_site_occupancy
Ca1 Ca 0.000 0.000 0.000 1
Ho1 Ho 0.000 0.500 0.500 1
Ho2 Ho 0.500 0.000 0.500 1
Pa1 Pa 0.500 0.500 0.000 1
P1 P 0.257 0.000 0.751 1
P2 P 0.262 0.500 0.251 1

---

[8]
# AcMg4Ga4 PBE-GGA optimized geometry
# Raw total energy in Ry per atom: -0.2021
# Crystal system: tetragonal
# E_form in meV per atom: -239
data_AcMg4Ga4
_chemical_formula_sum 'Ac2 Mg8 Ga8'
_space_group_name_H-M_alt 'P 42/n m c'
_space_group_IT_number 137
_cell_length_a 6.699
_cell_length_b 6.699
_cell_length_c 9.160
_cell_angle_alpha 90.00
_cell_angle_beta 90.00
_cell_angle_gamma 90.00
loop_
_space_group_symop_operation_xyz
'x,y,z'
'-x,-y,-z'
'-y+1/2,x,z+1/2'
'y+1/2,-x,-z+1/2'
'-x+1/2,-y+1/2,z'
'x+1/2,y+1/2,-z'
'y,-x+1/2,z+1/2'
'-y,x+1/2,-z+1/2'
'x+1/2,-y,-z'
'-x+1/2,y,z'
'-y,-x,-z+1/2'
'y,x,z+1/2'
'-x,y+1/2,-z'
'x,-y+1/2,z'
'y+1/2,x+1/2,-z+1/2'
'-y+1/2,-x+1/2,z+1/2'
loop_
_atom_site_label
_atom_site_type_symbol
_atom_site_fract_x
_atom_site_fract_y
_atom_site_fract_z
_atom_site_occupancy
Ac1 Ac 0.250 0.750 0.250 1
Mg1 Mg 0.004 0.250 0.140 1
Ga1 Ga 0.057 0.250 0.441 1

---

Copy entry 2 word for word.
# Sm5Ho4Pu PBE-GGA optimized geometry
# Raw total energy in Ry per atom: -0.4088
# Crystal system: monoclinic
# E_form in meV per atom: 62
data_Sm5Ho4Pu
_chemical_formula_sum 'Sm10 Ho8 Pu2'
_space_group_name_H-M_alt 'C 1 2/m 1'
_space_group_IT_number 12
_cell_length_a 16.902
_cell_length_b 3.525
_cell_length_c 11.404
_cell_angle_alpha 90.00
_cell_angle_beta 108.95
_cell_angle_gamma 90.00
loop_
_space_group_symop_operation_xyz
'x,y,z'
'-x,-y,-z'
'-x,y,-z'
'x,-y,z'
'x+1/2,y+1/2,z'
'-x+1/2,-y+1/2,-z'
'-x+1/2,y+1/2,-z'
'x+1/2,-y+1/2,z'
loop_
_atom_site_label
_atom_site_type_symbol
_atom_site_fract_x
_atom_site_fract_y
_atom_site_fract_z
_atom_site_occupancy
Sm1 Sm 0.000 0.000 0.000 1
Sm2 Sm 0.187 0.500 0.577 1
Sm3 Sm 0.210 0.500 0.115 1
Ho1 Ho 0.083 0.500 0.789 1
Ho2 Ho 0.105 0.000 0.299 1
Pu1 Pu 0.000 0.000 0.500 1

---

Repeat the sixth record exactly.
# PrHgCl PBE-GGA optimized geometry
# Raw total energy in Ry per atom: -0.2535
# Crystal system: triclinic
# Uncorrected formation energy in eV per atom: -1.14
data_PrHgCl
_chemical_formula_sum 'Pr2 Hg2 Cl2'
_space_group_name_H-M_alt 'P -1'
_space_group_IT_number 2
_cell_length_a 4.187
_cell_length_b 4.896
_cell_length_c 8.036
_cell_angle_alpha 89.94
_cell_angle_beta 74.93
_cell_angle_gamma 89.81
loop_
_space_group_symop_operation_xyz
'x,y,z'
'-x,-y,-z'
loop_
_atom_site_label
_atom_site_type_symbol
_atom_site_fract_x
_atom_site_fract_y
_atom_site_fract_z
_atom_site_occupancy
Pr1 Pr 0.125 0.250 0.249 1
Hg1 Hg 0.448 0.250 0.599 1
Cl1 Cl 0.241 0.750 0.018 1

---

Question: The highest raw total energy belongs to which entry?
Answer: AcMg4Ga4

---

Question: Which of these has the highest raw total energy?
Answer: AcMg4Ga4